First-principles (meta-GGA SCAN) data for K2SiBr at its PBEsol-relaxed geometry, as listed in Alexandria.

```
16
Lattice="8.660 0.000 0.000 0.000 8.660 0.000 0.000 0.000 9.322" Properties=species:S:1:pos:R:3 pbc="T T T"
K 1.960 2.165 1.165
K 2.165 6.290 3.496
K 2.165 6.700 8.157
K 2.370 2.165 5.826
K 6.290 6.495 5.826
K 6.495 1.960 8.157
K 6.495 2.370 3.496
K 6.700 6.495 1.165
Si 0.000 0.000 4.661
Si 0.000 4.330 6.991
Si 4.330 0.000 2.330
Si 4.330 4.330 0.000
Br 0.000 0.000 0.000
Br 0.000 4.330 2.330
Br 4.330 0.000 6.991
Br 4.330 4.330 4.661
```

Summary:
**Density**: 1769 kg/m³
**Relative energy among the computed polymorphs**: 60 meV/atom
**Energy**: -189.88 eV/cell
**Calculated volume**: 699.1 Å³ per cell
**Magnetic moment**: 12.00 μB per cell

---

First-principles (meta-GGA SCAN) data for KSiW2Br at its PBEsol-relaxed geometry, as listed in Alexandria.

```
5
Lattice="4.629 0.000 0.000 0.000 4.629 0.000 0.000 0.000 5.389" Properties=species:S:1:pos:R:3 pbc="T T T"
K 0.000 0.000 0.000
Si 2.314 2.314 0.000
W 0.000 2.314 2.694
W 2.314 0.000 2.694
Br 0.000 0.000 2.694
```

Summary:
**Density**: 7404 kg/m³
**Energy**: -165.39 eV/cell
**Calculated volume**: 115.5 Å³ per cell
**Magnetic moment**: 0.00 μB per cell

---

First-principles (meta-GGA SCAN) data for K2SmBr5 at its PBEsol-relaxed geometry, as listed in Alexandria.

```
32
Lattice="13.192 0.000 0.000 0.000 8.996 0.000 0.000 0.000 8.340" Properties=species:S:1:pos:R:3 pbc="T T T"
K 2.270 0.047 0.513
K 2.270 4.451 0.513
K 4.326 4.545 4.684
K 4.326 8.949 4.684
K 8.866 0.047 3.657
K 8.866 4.451 3.657
K 10.922 4.545 7.827
K 10.922 8.949 7.827
Sm 0.084 2.249 4.831
Sm 6.512 6.747 0.660
Sm 6.679 2.249 7.680
Sm 13.108 6.747 3.510
Br 0.104 2.249 7.731
Br 0.975 4.915 5.586
Br 0.975 8.579 5.586
Br 2.415 2.249 3.157
Br 2.713 6.747 2.855
Br 3.883 2.249 7.025
Br 4.181 6.747 7.328
Br 5.621 0.417 1.416
Br 5.621 4.081 1.416
Br 6.492 6.747 3.560
Br 6.700 2.249 4.780
Br 7.571 4.915 6.925
Br 7.571 8.579 6.925
Br 9.011 2.249 1.013
Br 9.309 6.747 1.315
Br 10.479 2.249 5.485
Br 10.777 6.747 5.183
Br 12.217 0.417 2.755
Br 12.217 4.081 2.755
Br 13.088 6.747 0.610
```

Summary:
**Density**: 4215 kg/m³
**Energy**: -699.88 eV/cell
**Calculated volume**: 989.8 Å³ per cell
**Magnetic moment**: 0.00 μB per cell

---

First-principles (meta-GGA SCAN) data for KSn2Br5 at its PBEsol-relaxed geometry, as listed in Alexandria.

```
16
Lattice="-4.078 4.078 7.177 4.078 -4.078 7.177 4.078 4.078 -7.177" Properties=species:S:1:pos:R:3 pbc="T T T"
K 0.000 0.000 3.589
K 0.000 0.000 10.766
Sn 5.431 1.353 0.000
Sn 1.353 2.725 0.000
Sn 2.725 1.353 7.177
Sn -1.353 2.725 7.177
Br 0.000 0.000 0.000
Br 2.777 1.301 -1.966
Br 2.777 -1.301 5.212
Br 2.777 1.301 1.966
Br 2.777 -1.301 9.143
Br 0.000 0.000 7.177
Br 1.301 5.379 -1.966
Br 1.301 2.777 5.212
Br 1.301 5.379 1.966
Br 1.301 2.777 9.143
```

Summary:
**Density**: 4703 kg/m³
**Energy**: -372.02 eV/cell
**Calculated volume**: 477.4 Å³ per cell
**Magnetic moment**: 0.00 μB per cell

---

First-principles (meta-GGA SCAN) data for K2SnBr6 at its PBEsol-relaxed geometry, as listed in Alexandria.

```
18
Lattice="7.377 0.000 0.000 0.000 7.553 0.000 -7.287 0.000 10.400" Properties=species:S:1:pos:R:3 pbc="T T T"
K -0.100 0.457 2.584
K -3.744 3.319 7.784
K 3.834 4.234 2.616
K 0.190 7.096 7.816
Sn 3.689 0.000 0.000
Sn 0.045 3.776 5.200
Br -5.709 1.520 10.026
Br -2.066 2.257 4.827
Br -5.081 5.404 10.100
Br -1.437 5.926 4.900
Br -3.137 0.022 7.825
Br 0.507 3.754 2.625
Br -0.417 3.799 7.775
Br 3.227 7.531 2.575
Br 1.528 1.627 5.499
Br 5.171 2.149 0.300
Br 2.156 5.296 5.573
Br 5.800 6.033 0.373
```

Summary:
**Density**: 3876 kg/m³
**Relative energy among the computed polymorphs**: 0 meV/atom
**Energy**: -361.94 eV/cell
**Calculated volume**: 579.5 Å³ per cell
**Magnetic moment**: 0.00 μB per cell

---

First-principles (meta-GGA SCAN) data for K2SnBr6 at its PBEsol-relaxed geometry, as listed in Alexandria.

```
9
Lattice="0.000 5.252 5.252 5.252 0.000 5.252 5.252 5.252 0.000" Properties=species:S:1:pos:R:3 pbc="T T T"
K 2.626 2.626 2.626
K 7.878 7.878 7.878
Sn 0.000 0.000 0.000
Br 5.252 5.252 2.611
Br 5.252 2.611 5.252
Br 7.893 5.252 5.252
Br 2.611 5.252 5.252
Br 5.252 7.893 5.252
Br 5.252 5.252 7.893
```

Summary:
**Density**: 3876 kg/m³
**Relative energy among the computed polymorphs**: 16 meV/atom
**Energy**: -180.83 eV/cell
**Calculated volume**: 289.8 Å³ per cell
**Magnetic moment**: 0.00 μB per cell

---

First-principles (meta-GGA SCAN) data for K3SnBr at its PBEsol-relaxed geometry, as listed in Alexandria.

```
5
Lattice="6.085 0.000 0.000 0.000 6.085 0.000 0.000 0.000 6.085" Properties=species:S:1:pos:R:3 pbc="T T T"
K 0.000 0.000 3.042
K 0.000 3.042 0.000
K 3.042 0.000 0.000
Sn 3.042 3.042 3.042
Br 0.000 0.000 0.000
```

Summary:
**Density**: 2329 kg/m³
**Energy**: -83.67 eV/cell
**Calculated volume**: 225.3 Å³ per cell
**Magnetic moment**: 2.03 μB per cell

---

First-principles (meta-GGA SCAN) data for KSrSn2Br at its PBEsol-relaxed geometry, as listed in Alexandria.

```
5
Lattice="5.870 0.000 0.000 0.000 5.870 0.000 0.000 0.000 5.637" Properties=species:S:1:pos:R:3 pbc="T T T"
K 0.000 0.000 0.000
Sr 2.935 2.935 2.818
Sn 0.000 2.935 0.000
Sn 2.935 0.000 0.000
Br 0.000 0.000 2.818
```

Summary:
**Density**: 3796 kg/m³
**Energy**: -121.43 eV/cell
**Calculated volume**: 194.2 Å³ per cell
**Magnetic moment**: 1.69 μB per cell

---

First-principles (meta-GGA SCAN) data for KSrBr at its PBEsol-relaxed geometry, as listed in Alexandria.

```
6
Lattice="3.946 0.000 0.000 0.000 3.946 0.000 0.000 0.000 15.295" Properties=species:S:1:pos:R:3 pbc="T T T"
K 0.000 0.000 0.000
K 1.973 1.973 7.647
Sr 0.000 0.000 4.254
Sr 1.973 1.973 11.901
Br 0.000 0.000 9.946
Br 1.973 1.973 2.299
```

Summary:
**Density**: 2881 kg/m³
**Energy**: -106.28 eV/cell
**Calculated volume**: 238.2 Å³ per cell
**Magnetic moment**: 0.14 μB per cell

---

First-principles (meta-GGA SCAN) data for KSrBr4 at its PBEsol-relaxed geometry, as listed in Alexandria.

```
6
Lattice="0.000 4.581 4.581 4.581 0.000 4.581 4.581 4.581 0.000" Properties=species:S:1:pos:R:3 pbc="T T T"
K 0.000 0.000 0.000
Sr 2.291 2.291 2.291
Br 5.724 3.438 3.438
Br 3.438 5.724 3.438
Br 3.438 3.438 5.724
Br 5.724 5.724 5.724
```

Summary:
**Density**: 3854 kg/m³
**Energy**: -114.09 eV/cell
**Calculated volume**: 192.3 Å³ per cell
**Magnetic moment**: 1.04 μB per cell

---

First-principles (meta-GGA SCAN) data for KSr2Br5 at its PBEsol-relaxed geometry, as listed in Alexandria.

```
32
Lattice="9.228 0.000 0.000 0.000 8.211 0.000 -0.001 0.000 13.188" Properties=species:S:1:pos:R:3 pbc="T T T"
K 0.074 0.351 4.340
K 0.073 3.755 10.934
K 9.154 4.456 2.254
K 9.153 7.860 8.848
Sr 2.296 4.692 6.506
Sr 2.296 7.624 13.100
Sr 4.600 4.309 2.350
Sr 4.600 8.007 8.944
Sr 4.627 0.204 4.244
Sr 4.627 3.902 10.838
Sr 6.932 0.587 0.088
Sr 6.931 3.519 6.682
Br 0.358 1.405 1.197
Br 0.358 2.701 7.791
Br 2.472 5.693 9.464
Br 2.473 6.623 2.870
Br 2.576 4.459 13.160
Br 2.576 7.858 6.566
Br 2.591 1.390 10.766
Br 2.592 2.715 4.172
Br 4.244 1.331 1.309
Br 4.243 2.774 7.903
Br 4.984 5.436 5.285
Br 4.984 6.880 11.879
Br 6.636 5.496 9.016
Br 6.636 6.821 2.422
Br 6.651 0.353 6.622
Br 6.651 3.752 0.028
Br 6.755 1.588 10.319
Br 6.755 2.518 3.724
Br 8.870 5.510 5.398
Br 8.869 6.806 11.992
```

Summary:
**Density**: 4080 kg/m³
**Energy**: -673.64 eV/cell
**Calculated volume**: 999.3 Å³ per cell
**Magnetic moment**: 0.00 μB per cell

---

First-principles (meta-GGA SCAN) data for K2TaBr at its PBEsol-relaxed geometry, as listed in Alexandria.

```
4
Lattice="3.375 0.000 0.000 0.000 6.048 0.000 0.000 0.000 6.756" Properties=species:S:1:pos:R:3 pbc="T T T"
K 0.000 0.000 0.000
K 1.687 3.024 3.313
Ta 0.000 0.000 3.383
Br 1.687 3.024 6.718
```

Summary:
**Density**: 4083 kg/m³
**Relative energy among the computed polymorphs**: 354 meV/atom
**Energy**: -100.17 eV/cell
**Calculated volume**: 137.9 Å³ per cell
**Magnetic moment**: 4.50 μB per cell

---

no.,uncorrected formation energy (eV/atom)
1,-0.335
2,2.358
3,-2.072
4,-1.068
5,-1.292
6,-1.277
7,-0.661
8,0.096
9,-1.026
10,-0.941
11,-2.279
12,0.631